(1)
## CdAsW (PBE-GGA)

Data for a relaxed CdAsW crystal.

It has space group P3m1 (No. 156), with a = 3.1355 Å, b = 3.1355 Å, c = 6.7725 Å, α = 90.00°, β = 90.00° and γ = 120.00°. The distinct sites, in fractional coordinates, are Cd at (0.0000, 0.0000, 0.0000), As at (0.3333, 0.6667, 0.6090) and W at (0.6667, 0.3333, 0.3508).

The calculation puts the total energy at -17.51 eV/cell. The calculation puts the offset from the most stable computed form at 0.0126 eV/atom.

(2)
## CdAs2W (PBE-GGA)

Data for a relaxed CdAs2W crystal.

It has space group Pmmm (No. 47), with a = 3.341 Å, b = 4.582 Å, c = 4.627 Å, α = 90.00°, β = 90.00° and γ = 90.00°. The distinct sites, in fractional coordinates, are Cd at (0.000, 0.000, 0.000), As at (0.500, 0.000, 0.500), As at (0.500, 0.500, 0.000) and W at (0.000, 0.500, 0.500).

The calculation puts the total energy at -20.79 eV/cell.

(3)
## CdAs2W (PBE-GGA)

Data for a relaxed CdAs2W crystal.

It has space group P4mm (No. 99), with a = 3.307 Å, b = 3.307 Å, c = 7.117 Å, α = 90.00°, β = 90.00° and γ = 90.00°. The distinct sites, in fractional coordinates, are Cd at (0.000, 0.000, 0.000), As at (0.000, 0.000, 0.426), As at (0.500, 0.500, 0.661) and W at (0.500, 0.500, 0.280).

The calculation puts the total energy at -21.58 eV/cell.

(4)
## CdAsW3 (PBE-GGA)

Data for a relaxed CdAsW3 crystal.

It has space group Pm-3m (No. 221), with a = 4.642 Å, b = 4.642 Å, c = 4.642 Å, α = 90.00°, β = 90.00° and γ = 90.00°. The distinct sites, in fractional coordinates, are Cd at (0.000, 0.000, 0.000), As at (0.500, 0.500, 0.500) and W at (0.000, 0.500, 0.500).

The calculation puts the total energy at -36.76 eV/cell. The calculation puts the offset from the most stable computed form at 0.0000 eV/atom.

(5)
## CdAsW4 (PBE-GGA)

Data for a relaxed CdAsW4 crystal.

It has space group F-43m (No. 216), with a = 7.602 Å, b = 7.602 Å, c = 7.602 Å, α = 90.00°, β = 90.00° and γ = 90.00°. The distinct sites, in fractional coordinates, are Cd at (0.000, 0.000, 0.000), As at (0.250, 0.250, 0.250) and W at (0.127, 0.127, 0.627).

The calculation puts the total energy at -209.93 eV/cell.

(6)
## CdAs2W (PBE-GGA)

Data for a relaxed CdAs2W crystal.

It has space group R-3m (No. 166, hexagonal axes), with a = 3.1322 Å, b = 3.1322 Å, c = 30.6091 Å, α = 90.00°, β = 90.00° and γ = 120.00°. The distinct sites, in fractional coordinates, are Cd at (0.0000, 0.0000, 0.0000), As at (0.0000, 0.0000, 0.2274) and W at (0.0000, 0.0000, 0.5000).

The calculation puts the total energy at -68.66 eV/cell.

(7)
## CdAsW (PBE-GGA)

Data for a relaxed CdAsW crystal.

It has space group F-43m (No. 216), with a = 6.299 Å, b = 6.299 Å, c = 6.299 Å, α = 90.00°, β = 90.00° and γ = 90.00°. The distinct sites, in fractional coordinates, are Cd at (0.000, 0.000, 0.000), As at (0.000, 0.000, 0.500) and W at (0.250, 0.250, 0.750).

The calculation puts the total energy at -63.22 eV/cell. The calculation puts the offset from the most stable computed form at 0.5802 eV/atom.

(8)
## CdAsW (PBE-GGA)

Data for a relaxed CdAsW crystal.

It has space group I4mm (No. 107), with a = 3.264 Å, b = 3.264 Å, c = 10.310 Å, α = 90.00°, β = 90.00° and γ = 90.00°. The distinct sites, in fractional coordinates, are Cd at (0.000, 0.000, 0.000), As at (0.000, 0.000, 0.698) and W at (0.000, 0.000, 0.308).

The calculation puts the total energy at -35.09 eV/cell. The calculation puts the offset from the most stable computed form at 0.0000 eV/atom.

ΔE_f
In order: 0.337 0.595 0.396 1.532 0.816 0.071 0.904 0.324
Unit: eV per atom